CuMo3H after structural relaxation. Source: Alexandria, functional PBE.

abc: 3.961 3.961 3.961
angles: 90.00 90.00 90.00
Space group Pm-3m (No. 221)
Asymmetric unit:
Cu1 0.000 0.000 0.000 x1
Mo1 0.000 0.500 0.500 x3
H1 0.500 0.500 0.500 x1

Properties
Excess energy over the best structure of this formula in the dataset (meV/atom): 0
Total moment (μB per formula unit): 0.00
DOS(E_F) (states/eV per cell): 2.1